<one>
Crystalline Tb2Pm7Sm at its relaxed geometry, computed with PBE.

Summary:
- DOS(E_F): 1.507 states/eV/atom

Geometry as CIF:
```
data_Tb2Pm7Sm
_cell_length_a 8.8612
_cell_length_b 16.3421
_cell_length_c 5.6743
_cell_angle_alpha 90.00
_cell_angle_beta 90.00
_cell_angle_gamma 90.00
_space_group_name_H-M_alt 'C m m m'
_space_group_IT_number 65
_space_group_name_Hall '-C 2 2'
loop_
_atom_site_label
_atom_site_type_symbol
_atom_site_fract_x
_atom_site_fract_y
_atom_site_fract_z
Tb1 Tb 0.0000 0.2044 0.0000
Pm1 Pm 0.0000 0.0000 0.0000
Pm2 Pm 0.0000 0.2775 0.5000
Pm3 Pm 0.1789 0.3856 0.0000
Sm1 Sm 0.0000 0.5000 0.5000
```

<two>
Crystalline Tb2Pm7Sm at its relaxed geometry, computed with PBE.

Summary:
- DOS(E_F): 1.539 states/eV/atom

Geometry as CIF:
```
data_Tb2Pm7Sm
_cell_length_a 12.0680
_cell_length_b 16.9346
_cell_length_c 3.5115
_cell_angle_alpha 90.00
_cell_angle_beta 90.00
_cell_angle_gamma 90.00
_space_group_name_H-M_alt 'C m m m'
_space_group_IT_number 65
_space_group_name_Hall '-C 2 2'
loop_
_atom_site_label
_atom_site_type_symbol
_atom_site_fract_x
_atom_site_fract_y
_atom_site_fract_z
Tb1 Tb 0.0000 0.1690 0.0000
Pm1 Pm 0.0000 0.3237 0.5000
Pm2 Pm 0.0000 0.5000 0.0000
Pm3 Pm 0.2440 0.3698 0.0000
Sm1 Sm 0.0000 0.0000 0.5000
```

<two> (262 meV per atom below the next structure)